[1]
Compound: Hf4AlC2S
Source: OQMD
Functional: PBE
Structure: relaxed

```
data_Hf4AlC2S
_chemical_formula_sum 'Hf4 Al1 C2 S1'
_space_group_name_H-M_alt 'P 1'
_space_group_IT_number 1
_cell_length_a 3.327
_cell_length_b 3.327
_cell_length_c 13.183
_cell_angle_alpha 90.00
_cell_angle_beta 90.00
_cell_angle_gamma 120.00
loop_
_space_group_symop_operation_xyz
'x,y,z'
loop_
_atom_site_label
_atom_site_type_symbol
_atom_site_fract_x
_atom_site_fract_y
_atom_site_fract_z
Hf1 Hf 0.000 0.000 0.138
Hf2 Hf 0.000 0.000 0.862
Hf3 Hf 0.667 0.333 0.325
Hf4 Hf 0.667 0.333 0.675
Al1 Al 0.000 0.000 0.500
C1 C 0.333 0.667 0.232
C2 C 0.333 0.667 0.768
S1 S 0.667 0.333 0.000
```

Results
Raw total energy (eV per cell): -74.3
Magnetic moment (μB/f.u.): 0.0
Density (kg/m3): 10473

***

[2]
Compound: SmAl2PdAu
Source: OQMD
Functional: PBE
Structure: relaxed

```
data_SmAl2PdAu
_chemical_formula_sum 'Sm2 Al4 Pd2 Au2'
_space_group_name_H-M_alt 'P 1'
_space_group_IT_number 1
_cell_length_a 4.352
_cell_length_b 4.352
_cell_length_c 10.378
_cell_angle_alpha 90.00
_cell_angle_beta 90.00
_cell_angle_gamma 90.00
loop_
_space_group_symop_operation_xyz
'x,y,z'
loop_
_atom_site_label
_atom_site_type_symbol
_atom_site_fract_x
_atom_site_fract_y
_atom_site_fract_z
Sm1 Sm 0.250 0.250 0.247
Sm2 Sm 0.750 0.750 0.753
Al1 Al 0.250 0.250 0.880
Al2 Al 0.250 0.750 0.500
Al3 Al 0.750 0.250 0.500
Al4 Al 0.750 0.750 0.120
Pd1 Pd 0.250 0.750 0.000
Pd2 Pd 0.750 0.250 0.000
Au1 Au 0.250 0.250 0.637
Au2 Au 0.750 0.750 0.363
```

Results
Raw total energy (eV per cell): -49.5
Magnetic moment (μB/f.u.): 0.0
Density (kg/m3): 8579

***

[3]
Compound: BaThCo
Source: OQMD
Functional: PBE
Structure: relaxed

```
data_BaThCo
_chemical_formula_sum 'Ba4 Th4 Co4'
_space_group_name_H-M_alt 'P 1'
_space_group_IT_number 1
_cell_length_a 7.047
_cell_length_b 7.047
_cell_length_c 7.047
_cell_angle_alpha 90.00
_cell_angle_beta 90.00
_cell_angle_gamma 90.00
loop_
_space_group_symop_operation_xyz
'x,y,z'
loop_
_atom_site_label
_atom_site_type_symbol
_atom_site_fract_x
_atom_site_fract_y
_atom_site_fract_z
Ba1 Ba 0.000 0.000 0.000
Ba2 Ba 0.000 0.500 0.500
Ba3 Ba 0.500 0.000 0.500
Ba4 Ba 0.500 0.500 0.000
Th1 Th 0.000 0.000 0.500
Th2 Th 0.000 0.500 0.000
Th3 Th 0.500 0.000 0.000
Th4 Th 0.500 0.500 0.500
Co1 Co 0.250 0.250 0.250
Co2 Co 0.250 0.750 0.750
Co3 Co 0.750 0.250 0.750
Co4 Co 0.750 0.750 0.250
```

Results
Excess energy over the best structure of this formula in the dataset (kJ/mol of formula units): 0
Magnetic moment (μB/f.u.): 0.0
Density (kg/m3): 8128

***

[4]
Compound: FeB4
Source: OQMD
Functional: PBE
Structure: relaxed

```
data_FeB4
_chemical_formula_sum 'Fe4 B16'
_space_group_name_H-M_alt 'P 1'
_space_group_IT_number 1
_cell_length_a 6.271
_cell_length_b 6.271
_cell_length_c 6.271
_cell_angle_alpha 131.73
_cell_angle_beta 131.73
_cell_angle_gamma 70.65
loop_
_space_group_symop_operation_xyz
'x,y,z'
loop_
_atom_site_label
_atom_site_type_symbol
_atom_site_fract_x
_atom_site_fract_y
_atom_site_fract_z
Fe1 Fe 0.125 0.375 0.750
Fe2 Fe 0.375 0.125 0.250
Fe3 Fe 0.625 0.875 0.750
Fe4 Fe 0.875 0.625 0.250
B1 B 0.057 0.813 0.995
B2 B 0.062 0.057 0.744
B3 B 0.183 0.687 0.744
B4 B 0.187 0.683 0.244
B5 B 0.313 0.557 0.495
B6 B 0.317 0.062 0.505
B7 B 0.438 0.183 0.995
B8 B 0.443 0.438 0.756
B9 B 0.557 0.562 0.244
B10 B 0.562 0.817 0.005
B11 B 0.683 0.938 0.495
B12 B 0.687 0.443 0.505
B13 B 0.813 0.317 0.756
B14 B 0.817 0.313 0.256
B15 B 0.938 0.943 0.256
B16 B 0.943 0.187 0.005
```

Results
Raw total energy (eV per cell): -141.4
Magnetic moment (μB/f.u.): 0.0
Density (kg/m3): 4892

***

[5]
Compound: CuSnPd2
Source: OQMD
Functional: PBE
Structure: relaxed

```
data_CuSnPd2
_chemical_formula_sum 'Cu4 Sn4 Pd8'
_space_group_name_H-M_alt 'P 1'
_space_group_IT_number 1
_cell_length_a 3.991
_cell_length_b 7.929
_cell_length_c 8.003
_cell_angle_alpha 90.00
_cell_angle_beta 90.00
_cell_angle_gamma 90.00
loop_
_space_group_symop_operation_xyz
'x,y,z'
loop_
_atom_site_label
_atom_site_type_symbol
_atom_site_fract_x
_atom_site_fract_y
_atom_site_fract_z
Cu1 Cu 0.000 0.000 0.000
Cu2 Cu 0.000 0.500 0.500
Cu3 Cu 0.500 0.246 0.500
Cu4 Cu 0.500 0.754 0.500
Sn1 Sn 0.000 0.250 0.248
Sn2 Sn 0.000 0.250 0.752
Sn3 Sn 0.000 0.750 0.248
Sn4 Sn 0.000 0.750 0.752
Pd1 Pd 0.000 0.000 0.500
Pd2 Pd 0.000 0.500 0.000
Pd3 Pd 0.500 0.000 0.253
Pd4 Pd 0.500 0.000 0.747
Pd5 Pd 0.500 0.246 0.000
Pd6 Pd 0.500 0.500 0.272
Pd7 Pd 0.500 0.500 0.728
Pd8 Pd 0.500 0.754 0.000
```

Results
Raw total energy (eV per cell): -77.8
Density (kg/m3): 10363

***

[6]
Compound: K2Nd
Source: OQMD
Functional: PBE
Structure: relaxed

```
data_K2Nd
_chemical_formula_sum 'K8 Nd4'
_space_group_name_H-M_alt 'P 1'
_space_group_IT_number 1
_cell_length_a 7.919
_cell_length_b 7.919
_cell_length_c 11.366
_cell_angle_alpha 90.00
_cell_angle_beta 90.00
_cell_angle_gamma 120.00
loop_
_space_group_symop_operation_xyz
'x,y,z'
loop_
_atom_site_label
_atom_site_type_symbol
_atom_site_fract_x
_atom_site_fract_y
_atom_site_fract_z
K1 K 0.000 0.000 0.000
K2 K 0.000 0.000 0.500
K3 K 0.180 0.359 0.250
K4 K 0.180 0.820 0.250
K5 K 0.359 0.180 0.750
K6 K 0.641 0.820 0.250
K7 K 0.820 0.180 0.750
K8 K 0.820 0.641 0.750
Nd1 Nd 0.333 0.667 0.596
Nd2 Nd 0.333 0.667 0.904
Nd3 Nd 0.667 0.333 0.096
Nd4 Nd 0.667 0.333 0.404
```

Results
Raw total energy (eV per cell): -20.8
Magnetic moment (μB/f.u.): 1.0
Density (kg/m3): 2394

***

[7]
Compound: PaSnW
Source: OQMD
Functional: PBE
Structure: relaxed

```
data_PaSnW
_chemical_formula_sum 'Pa4 Sn4 W4'
_space_group_name_H-M_alt 'P 1'
_space_group_IT_number 1
_cell_length_a 6.658
_cell_length_b 6.658
_cell_length_c 6.658
_cell_angle_alpha 90.00
_cell_angle_beta 90.00
_cell_angle_gamma 90.00
loop_
_space_group_symop_operation_xyz
'x,y,z'
loop_
_atom_site_label
_atom_site_type_symbol
_atom_site_fract_x
_atom_site_fract_y
_atom_site_fract_z
Pa1 Pa 0.000 0.000 0.000
Pa2 Pa 0.000 0.500 0.500
Pa3 Pa 0.500 0.000 0.500
Pa4 Pa 0.500 0.500 0.000
Sn1 Sn 0.000 0.000 0.500
Sn2 Sn 0.000 0.500 0.000
Sn3 Sn 0.500 0.000 0.000
Sn4 Sn 0.500 0.500 0.500
W1 W 0.250 0.250 0.250
W2 W 0.250 0.750 0.750
W3 W 0.750 0.250 0.750
W4 W 0.750 0.750 0.250
```

Results
Raw total energy (eV per cell): -100.7
Magnetic moment (μB/f.u.): 0.6
Density (kg/m3): 12006

***

[8]
Compound: KMgTcOs
Source: OQMD
Functional: PBE
Structure: relaxed

```
data_KMgTcOs
_chemical_formula_sum 'K4 Mg4 Tc4 Os4'
_space_group_name_H-M_alt 'P 1'
_space_group_IT_number 1
_cell_length_a 6.770
_cell_length_b 6.770
_cell_length_c 6.770
_cell_angle_alpha 90.00
_cell_angle_beta 90.00
_cell_angle_gamma 90.00
loop_
_space_group_symop_operation_xyz
'x,y,z'
loop_
_atom_site_label
_atom_site_type_symbol
_atom_site_fract_x
_atom_site_fract_y
_atom_site_fract_z
K1 K 0.000 0.000 0.000
K2 K 0.000 0.500 0.500
K3 K 0.500 0.000 0.500
K4 K 0.500 0.500 0.000
Mg1 Mg 0.000 0.000 0.500
Mg2 Mg 0.000 0.500 0.000
Mg3 Mg 0.500 0.000 0.000
Mg4 Mg 0.500 0.500 0.500
Tc1 Tc 0.250 0.250 0.750
Tc2 Tc 0.250 0.750 0.250
Tc3 Tc 0.750 0.250 0.250
Tc4 Tc 0.750 0.750 0.750
Os1 Os 0.250 0.250 0.250
Os2 Os 0.250 0.750 0.750
Os3 Os 0.750 0.250 0.750
Os4 Os 0.750 0.750 0.250
```

Results
Excess energy over the best structure of this formula in the dataset (kJ/mol of formula units): 231
Magnetic moment (μB/f.u.): 3.7
Density (kg/m3): 7528